Entry 1:
Sm5TmZn6: optimized geometry, PBE.

Cell: 8.099 8.099 7.252 Å, 90.00 90.00 143.25°
Sites, in units of the cell vectors:
1 Sm 0.000 0.000 0.000
2 Sm 0.332 0.668 0.000
3 Sm 0.335 0.665 0.500
4 Sm 0.665 0.335 0.500
5 Sm 0.668 0.332 0.000
6 Tm 0.000 0.000 0.500
7 Zn 0.163 0.837 0.255
8 Zn 0.163 0.837 0.745
9 Zn 0.500 0.500 0.257
10 Zn 0.500 0.500 0.743
11 Zn 0.837 0.163 0.255
12 Zn 0.837 0.163 0.745

Summary:
Symmetry: Cmmm


Entry 2:
SmTmZn2: optimized geometry, PBE.

Cell: 3.556 3.556 7.262 Å, 90.00 90.00 90.00°
Sites, in units of the cell vectors:
1 Sm 0.000 0.000 0.000
2 Tm 0.000 0.000 0.500
3 Zn 0.500 0.500 0.269
4 Zn 0.500 0.500 0.731

Summary:
Energy above the lowest structure with this stoichiometry in eV per atom: 0.001
Symmetry: P4/mmm


Entry 3:
SmTm4Zn2: optimized geometry, PBE.

Cell: 10.336 10.336 10.336 Å, 27.21 27.21 27.21°
Sites, in units of the cell vectors:
1 Sm 0.000 0.000 0.000
2 Tm 0.201 0.201 0.201
3 Tm 0.400 0.400 0.400
4 Tm 0.600 0.600 0.600
5 Tm 0.799 0.799 0.799
6 Zn 0.101 0.101 0.101
7 Zn 0.899 0.899 0.899

Summary:
Symmetry: R-3m


Entry 4:
Sm3Tm2Zn2: optimized geometry, PBE.

Cell: 6.737 6.737 9.029 Å, 114.42 114.42 31.97°
Sites, in units of the cell vectors:
1 Sm 0.000 0.000 0.000
2 Sm 0.108 0.108 0.438
3 Sm 0.892 0.892 0.562
4 Tm 0.350 0.350 0.185
5 Tm 0.650 0.650 0.815
6 Zn 0.316 0.316 0.780
7 Zn 0.684 0.684 0.220

Summary:
Energy above the lowest structure with this stoichiometry in eV per atom: 0.000
Symmetry: C2/m


Entry 5:
Sm3TmZn2: optimized geometry, PBE.

Cell: 5.132 9.251 6.714 Å, 90.00 90.00 90.00°
Sites, in units of the cell vectors:
1 Sm 0.000 0.054 0.000
2 Sm 0.000 0.333 0.334
3 Sm 0.000 0.667 0.834
4 Sm 0.000 0.946 0.500
5 Sm 0.500 0.177 0.680
6 Sm 0.500 0.823 0.180
7 Tm 0.500 0.446 0.022
8 Tm 0.500 0.554 0.522
9 Zn 0.000 0.348 0.791
10 Zn 0.000 0.652 0.291
11 Zn 0.500 0.155 0.228
12 Zn 0.500 0.845 0.728

Summary:
Energy above the lowest structure with this stoichiometry in eV per atom: 0.000
Symmetry: Pmc2_1


Entry 6:
SmTmZn3: optimized geometry, PBE.

Cell: 7.550 7.550 6.308 Å, 99.35 99.35 37.53°
Sites, in units of the cell vectors:
1 Sm 0.113 0.113 0.450
2 Sm 0.887 0.887 0.550
3 Tm 0.317 0.317 0.891
4 Tm 0.683 0.683 0.109
5 Zn 0.079 0.079 0.912
6 Zn 0.302 0.302 0.343
7 Zn 0.487 0.487 0.280
8 Zn 0.513 0.513 0.720
9 Zn 0.698 0.698 0.657
10 Zn 0.921 0.921 0.088

Summary:
Symmetry: C2/m


no.,energy of formation from the pure elements (meV per atom),calculated volume (Å³/atom)
1,-320,23.72
2,-329,22.95
3,130,29.10
4,-137,27.98
5,-213,26.56
6,-238,21.58